Arrangement i

This record from the Alexandria database describes Tc5Mo at its PBEsol-relaxed geometry. The functional is SCAN.

Cell: 5.1716 5.1716 5.1716 Å, 54.46 54.46 54.46°
Element x y z (fractional)
Tc 0.0000 0.6705 0.3295
Tc 0.1676 0.1676 0.1676
Tc 0.3295 0.0000 0.6705
Tc 0.6705 0.3295 0.0000
Tc 0.8324 0.8324 0.8324
Mo 0.5000 0.5000 0.5000

***

Arrangement ii

This record from the Alexandria database describes Tc5Mo at its PBEsol-relaxed geometry. The functional is SCAN.

Cell: 5.1760 5.1760 6.4664 Å, 104.39 104.39 30.61°
Element x y z (fractional)
Tc 0.0000 0.0000 0.0000
Tc 0.0529 0.0529 0.6189
Tc 0.3381 0.3381 0.6762
Tc 0.3957 0.3957 0.2783
Tc 0.7253 0.7253 0.9436
Mo 0.6700 0.6700 0.3379

***

What is the least stable structure shown above? It is arrangement i.